# 1
Material: NaTlIn2Hg
Method: DFT, PBE-GGA
State: optimized geometry

## Properties
- Total magnetization: 0.000 μB/f.u.
- ρ: 7.38 g cm⁻³
- Calculated total energy: -0.140 Ry/atom
- Energy relative to the elements: -7 meV per atom

Unit cell a=6.3568 b=7.8540 c=5.9279 alpha=90.00 beta=90.00 gamma=90.00
Last column: nearest neighbours and their distance in Å.
Element x y z (fractional)
Na  0.2500  0.0000  0.0451  2 Hg 3.13, 2 Na 3.22, 2 In 3.37
Na  0.7500  0.0000  0.9549  2 Hg 3.13, 2 Na 3.22, 2 In 3.37
Tl  0.2500  0.5000  0.1513  4 In 3.31-3.35, 2 Tl 3.65
Tl  0.7500  0.5000  0.8487  4 In 3.31-3.35, 2 Tl 3.65
In  0.2500  0.3062  0.6478  2 Hg 3.01, 1 In 3.04, 2 Tl 3.31-3.35, 1 Na 3.37
In  0.2500  0.6938  0.6478  2 Hg 3.01, 1 In 3.04, 2 Tl 3.31-3.35, 1 Na 3.37
In  0.7500  0.3062  0.3522  2 Hg 3.01, 1 In 3.04, 2 Tl 3.31-3.35, 1 Na 3.37
In  0.7500  0.6938  0.3522  2 Hg 3.01, 1 In 3.04, 2 Tl 3.31-3.35, 1 Na 3.37
Hg  0.0000  0.0000  0.5000  4 In 3.01, 2 Na 3.13, 2 Hg 3.18
Hg  0.5000  0.0000  0.5000  4 In 3.01, 2 Na 3.13, 2 Hg 3.18

=====

# 2
Material: SrTcBr2
Method: DFT, PBE-GGA
State: optimized geometry

## Properties
- Total magnetization: 5.039 μB/f.u.
- ρ: 4.85 g cm⁻³
- Calculated total energy: -0.264 Ry/atom
- Formation energy from raw total energies: 252 meV/atom

Unit cell a=5.5095 b=5.5095 c=5.5095 alpha=60.00 beta=60.00 gamma=60.00
Last column: nearest neighbours and their distance in Å.
Element x y z (fractional)
Sr  0.0000  0.0000  0.0000  4 Br 3.37, 4 Tc 3.37
Tc  0.2500  0.2500  0.2500  4 Br 3.37, 4 Sr 3.37
Br  0.5000  0.5000  0.5000  4 Br 3.37, 4 Tc 3.37
Br  0.7500  0.7500  0.7500  4 Sr 3.37, 4 Br 3.37

=====

# 3
Material: BeTcSe2
Method: DFT, PBE-GGA
State: optimized geometry

## Properties
- Total magnetization: 0.000 μB/f.u.
- ρ: 7.26 g cm⁻³
- Calculated total energy: -0.364 Ry/atom
- Formation energy from raw total energies: 317 meV/atom

Unit cell a=3.0929 b=3.0929 c=6.3360 alpha=90.00 beta=90.00 gamma=90.00
Last column: nearest neighbours and their distance in Å.
Element x y z (fractional)
Be  0.0000  0.0000  0.0000  8 Se 2.71
Tc  0.0000  0.0000  0.5000  8 Se 2.69
Se  0.5000  0.5000  0.2523  4 Tc 2.69, 4 Be 2.71
Se  0.5000  0.5000  0.7477  4 Tc 2.69, 4 Be 2.71

=====

# 4
Material: CoBi2OsPd
Method: DFT, PBE-GGA
State: optimized geometry

## Properties
- Total magnetization: 0.000 μB/f.u.
- ρ: 11.56 g cm⁻³
- Calculated total energy: -0.383 Ry/atom
- Energy relative to the elements: 1044 meV per atom

Unit cell a=4.9909 b=4.9909 c=4.4626 alpha=90.00 beta=90.00 gamma=90.00
Last column: nearest neighbours and their distance in Å.
Element x y z (fractional)
Co  0.0000  0.0000  0.0000  2 Os 2.23, 4 Bi 2.50
Bi  0.0000  0.5000  0.0000  2 Co 2.50
Bi  0.5000  0.0000  0.0000  2 Co 2.50
Os  0.0000  0.0000  0.5000  2 Co 2.23
Pd  0.5000  0.5000  0.5000  8 Bi 3.35, 4 Os 3.53

=====

# 5
Material: CaNiH3
Method: DFT, PBE-GGA
State: optimized geometry

## Properties
- Total magnetization: 0.000 μB/f.u.
- ρ: 3.66 g cm⁻³
- Calculated total energy: -0.287 Ry/atom

Unit cell a=5.5675 b=5.5675 c=5.5675 alpha=49.69 beta=49.69 gamma=49.69
Last column: nearest neighbours and their distance in Å.
Element x y z (fractional)
Ca  0.1067  0.1067  0.1067  9 H 2.39-2.62
Ca  0.8933  0.8933  0.8933  9 H 2.39-2.62
Ni  0.3248  0.3248  0.3248  6 H 1.67-1.79
Ni  0.6752  0.6752  0.6752  6 H 1.67-1.79
H  0.0781  0.5714  0.5714  2 Ni 1.67-1.79
H  0.4286  0.4286  0.9219  2 Ni 1.67-1.79
H  0.4286  0.9219  0.4286  2 Ni 1.67-1.79
H  0.5714  0.0781  0.5714  2 Ni 1.67-1.79
H  0.5714  0.5714  0.0781  2 Ni 1.67-1.79
H  0.9219  0.4286  0.4286  2 Ni 1.67-1.79

=====

# 6
Material: ScFe
Method: DFT, PBE-GGA
State: optimized geometry

## Properties
- Total magnetization: 1.336 μB/f.u.
- ρ: 3.57 g cm⁻³
- Calculated total energy: -0.434 Ry/atom
- Energy relative to the elements: 1496 meV per atom

Unit cell a=4.0484 b=4.0484 c=4.0484 alpha=60.00 beta=60.00 gamma=60.00
Last column: nearest neighbours and their distance in Å.
Element x y z (fractional)
Sc  0.0000  0.0000  0.0000  4 Fe 2.48
Fe  0.7500  0.7500  0.7500  4 Sc 2.48

=====

Look up the total magnetization of the third one.
0.000 μB/f.u.

=====

Which formula does entry 5 have?
CaNiH3

=====

Number 5 is which compound?
CaNiH3

=====

Which formula does entry 2 have?
SrTcBr2